Entry from Alexandria via LeMat-Bulk: crystalline MgSiHg2 at its relaxed geometry (PBE-GGA).

Calculated values
final energy: -1.695 eV per atom
E above lowest polymorph: 0.060 eV/atom
ΔE_f (raw): 0.210 eV per atom
space-group type: No. 225

Lattice parameters (Å, degrees): 4.9197 4.9197 4.9197 60.00 60.00 60.00
Fractional coordinates of all 4 atoms:
Mg 0.0000 0.0000 0.0000
Si 0.5000 0.5000 0.5000
Hg 0.2500 0.2500 0.2500
Hg 0.7500 0.7500 0.7500

***

Entry from Alexandria via LeMat-Bulk: crystalline MgSi2Hg at its relaxed geometry (PBE-GGA).

Calculated values
final energy: -2.794 eV per atom
E above lowest polymorph: 0.296 eV/atom
ΔE_f (raw): 0.391 eV per atom
space-group type: No. 122

Lattice parameters (Å, degrees): 6.0864 6.0864 6.0864 101.27 101.27 127.52
Fractional coordinates of all 8 atoms:
Mg 0.0000 0.0000 0.0000
Mg 0.7500 0.2500 0.5000
Si 0.1463 0.6250 0.0213
Si 0.3750 0.3963 0.5213
Si 0.6037 0.1250 0.9787
Si 0.8750 0.8537 0.4787
Hg 0.2500 0.7500 0.5000
Hg 0.5000 0.5000 0.0000

***

Entry from Alexandria via LeMat-Bulk: crystalline MgSiHg2 at its relaxed geometry (PBE-GGA).

Calculated values
final energy: -1.715 eV per atom
E above lowest polymorph: 0.039 eV/atom
ΔE_f (raw): 0.190 eV per atom
space-group type: No. 119

Lattice parameters (Å, degrees): 5.4132 5.4132 5.4132 132.85 132.85 68.89
Fractional coordinates of all 4 atoms:
Mg 0.0000 0.0000 0.0000
Si 0.2500 0.7500 0.5000
Hg 0.5000 0.5000 0.0000
Hg 0.7500 0.2500 0.5000

***

Entry from Alexandria via LeMat-Bulk: crystalline MgSi2Hg at its relaxed geometry (PBE-GGA).

Calculated values
final energy: -2.710 eV per atom
E above lowest polymorph: 0.380 eV/atom
ΔE_f (raw): 0.476 eV per atom
space-group type: No. 225

Lattice parameters (Å, degrees): 4.8113 4.8113 4.8113 60.00 60.00 60.00
Fractional coordinates of all 4 atoms:
Mg 0.0000 0.0000 0.0000
Si 0.2500 0.2500 0.2500
Si 0.7500 0.7500 0.7500
Hg 0.5000 0.5000 0.5000

***

Entry from Alexandria via LeMat-Bulk: crystalline MgSi2Hg at its relaxed geometry (PBE-GGA).

Calculated values
final energy: -2.807 eV per atom
E above lowest polymorph: 0.283 eV/atom
ΔE_f (raw): 0.379 eV per atom
space-group type: No. 216

Lattice parameters (Å, degrees): 4.7841 4.7841 4.7841 60.00 60.00 60.00
Fractional coordinates of all 4 atoms:
Mg 0.0000 0.0000 0.0000
Si 0.2500 0.2500 0.2500
Si 0.5000 0.5000 0.5000
Hg 0.7500 0.7500 0.7500

***

Entry from Alexandria via LeMat-Bulk: crystalline MgSiHg2 at its relaxed geometry (PBE-GGA).

Calculated values
final energy: -1.697 eV per atom
E above lowest polymorph: 0.058 eV/atom
ΔE_f (raw): 0.208 eV per atom
space-group type: No. 122

Lattice parameters (Å, degrees): 10.0778 10.0778 10.0778 155.15 155.15 35.43
Fractional coordinates of all 8 atoms:
Mg 0.0000 0.0000 0.0000
Mg 0.7500 0.2500 0.5000
Si 0.2500 0.7500 0.5000
Si 0.5000 0.5000 0.0000
Hg 0.1287 0.6250 0.0037
Hg 0.3750 0.3787 0.5037
Hg 0.6213 0.1250 0.9963
Hg 0.8750 0.8713 0.4963

***

Entry from Alexandria via LeMat-Bulk: crystalline MgSi2Hg at its relaxed geometry (PBE-GGA).

Calculated values
final energy: -2.889 eV per atom
E above lowest polymorph: 0.201 eV/atom
ΔE_f (raw): 0.297 eV per atom
space-group type: No. 12

Lattice parameters (Å, degrees): 5.2708 5.2708 5.1112 92.74 92.74 32.73
Fractional coordinates of all 4 atoms:
Mg 0.0000 0.0000 0.0000
Si 0.2605 0.2605 0.7957
Si 0.7395 0.7395 0.2043
Hg 0.5000 0.5000 0.5000

***

Entry from Alexandria via LeMat-Bulk: crystalline MgSiHg2 at its relaxed geometry (PBE-GGA).

Calculated values
final energy: -1.731 eV per atom
E above lowest polymorph: 0.024 eV/atom
ΔE_f (raw): 0.174 eV per atom
space-group type: No. 44

Lattice parameters (Å, degrees): 6.7852 6.7852 6.7852 151.90 142.02 47.91
Fractional coordinates of all 4 atoms:
Mg 0.0000 0.0000 0.0000
Si 0.1882 0.6882 0.5000
Hg 0.3982 0.3982 0.0000
Hg 0.6956 0.1956 0.5000

***

Entry from Alexandria via LeMat-Bulk: crystalline MgSiHg3 at its relaxed geometry (PBE-GGA).

Calculated values
final energy: -1.294 eV per atom
E above lowest polymorph: 0.000 eV/atom
ΔE_f (raw): 0.291 eV per atom
space-group type: No. 221

Lattice parameters (Å, degrees): 5.1982 5.1982 5.1982 90.00 90.00 90.00
Fractional coordinates of all 5 atoms:
Mg 0.0000 0.0000 0.0000
Si 0.5000 0.5000 0.5000
Hg 0.0000 0.5000 0.5000
Hg 0.5000 0.0000 0.5000
Hg 0.5000 0.5000 0.0000

***

Entry from Alexandria via LeMat-Bulk: crystalline MgSi2Hg at its relaxed geometry (PBE-GGA).

Calculated values
final energy: -2.980 eV per atom
E above lowest polymorph: 0.109 eV/atom
ΔE_f (raw): 0.205 eV per atom
space-group type: No. 6

Lattice parameters (Å, degrees): 2.8827 3.6224 7.6338 90.00 90.77 90.00
Fractional coordinates of all 4 atoms:
Mg 0.0000 0.0000 0.0000
Si 0.4955 0.0000 0.4231
Si 0.5098 0.5000 0.2208
Hg 0.4857 0.5000 0.7259

***

Entry from Alexandria via LeMat-Bulk: crystalline MgSi2Hg at its relaxed geometry (PBE-GGA).

Calculated values
final energy: -2.831 eV per atom
E above lowest polymorph: 0.258 eV/atom
ΔE_f (raw): 0.354 eV per atom
space-group type: No. 47

Lattice parameters (Å, degrees): 3.4120 4.5202 4.9116 90.00 90.00 90.00
Fractional coordinates of all 4 atoms:
Mg 0.0000 0.0000 0.0000
Si 0.0000 0.5000 0.5000
Si 0.5000 0.0000 0.5000
Hg 0.5000 0.5000 0.0000

***

Entry from Alexandria via LeMat-Bulk: crystalline MgSi2Hg at its relaxed geometry (PBE-GGA).

Calculated values
final energy: -2.845 eV per atom
E above lowest polymorph: 0.244 eV/atom
ΔE_f (raw): 0.340 eV per atom
space-group type: No. 65

Lattice parameters (Å, degrees): 4.8014 4.8014 3.4974 90.00 90.00 108.66
Fractional coordinates of all 4 atoms:
Mg 0.0000 0.0000 0.0000
Si 0.0000 0.5000 0.5000
Si 0.5000 0.0000 0.5000
Hg 0.5000 0.5000 0.0000

***

Entry from Alexandria via LeMat-Bulk: crystalline MgSi2Hg at its relaxed geometry (PBE-GGA).

Calculated values
final energy: -2.905 eV per atom
E above lowest polymorph: 0.185 eV/atom
ΔE_f (raw): 0.281 eV per atom
space-group type: No. 47

Lattice parameters (Å, degrees): 2.8016 5.0201 5.3272 90.00 90.00 90.00
Fractional coordinates of all 4 atoms:
Mg 0.0000 0.0000 0.0000
Si 0.5000 0.5000 0.2392
Si 0.5000 0.5000 0.7608
Hg 0.5000 0.0000 0.5000

***

Entry from Alexandria via LeMat-Bulk: crystalline MgSi2Hg at its relaxed geometry (PBE-GGA).

Calculated values
final energy: -2.802 eV per atom
E above lowest polymorph: 0.288 eV/atom
ΔE_f (raw): 0.384 eV per atom
space-group type: No. 166

Lattice parameters (Å, degrees): 11.0912 11.0912 11.0912 14.93 14.93 14.93
Fractional coordinates of all 4 atoms:
Mg 0.0000 0.0000 0.0000
Si 0.2605 0.2605 0.2605
Si 0.7395 0.7395 0.7395
Hg 0.5000 0.5000 0.5000

***

Entry from Alexandria via LeMat-Bulk: crystalline SmMgSiHg at its relaxed geometry (PBE-GGA).

Calculated values
final energy: -3.296 eV per atom
ΔE_f (raw): -0.287 eV per atom
space-group type: No. 216

Lattice parameters (Å, degrees): 5.0303 5.0303 5.0303 60.00 60.00 60.00
Fractional coordinates of all 4 atoms:
Sm 0.0000 0.0000 0.0000
Mg 0.5000 0.5000 0.5000
Si 0.2500 0.2500 0.2500
Hg 0.7500 0.7500 0.7500

***

Entry from Alexandria via LeMat-Bulk: crystalline TbMgSiHg at its relaxed geometry (PBE-GGA).

Calculated values
final energy: -3.271 eV per atom
ΔE_f (raw): -0.284 eV per atom
space-group type: No. 216

Lattice parameters (Å, degrees): 4.9799 4.9799 4.9799 60.00 60.00 60.00
Fractional coordinates of all 4 atoms:
Tb 0.0000 0.0000 0.0000
Mg 0.5000 0.5000 0.5000
Si 0.7500 0.7500 0.7500
Hg 0.2500 0.2500 0.2500

***

Entry from Alexandria via LeMat-Bulk: crystalline TmMgSiHg at its relaxed geometry (PBE-GGA).

Calculated values
final energy: -3.206 eV per atom
ΔE_f (raw): -0.259 eV per atom
space-group type: No. 216

Lattice parameters (Å, degrees): 4.9349 4.9349 4.9349 60.00 60.00 60.00
Fractional coordinates of all 4 atoms:
Tm 0.0000 0.0000 0.0000
Mg 0.5000 0.5000 0.5000
Si 0.2500 0.2500 0.2500
Hg 0.7500 0.7500 0.7500

***

Entry from Alexandria via LeMat-Bulk: crystalline YMgSiHg at its relaxed geometry (PBE-GGA).

Calculated values
final energy: -3.727 eV per atom
ΔE_f (raw): -0.281 eV per atom
space-group type: No. 216

Lattice parameters (Å, degrees): 4.9777 4.9777 4.9777 60.00 60.00 60.00
Fractional coordinates of all 4 atoms:
Y 0.0000 0.0000 0.0000
Mg 0.5000 0.5000 0.5000
Si 0.7500 0.7500 0.7500
Hg 0.2500 0.2500 0.2500

***

Entry from Alexandria via LeMat-Bulk: crystalline Sm4Mg3Hg at its relaxed geometry (PBE-GGA).

Calculated values
E_form: -191 meV per atom
final energy: -3.187 eV per atom
space-group type: No. 123

Lattice parameters (Å, degrees): 3.8443 3.8443 15.2383 90.00 90.00 90.00
Fractional coordinates of all 8 atoms:
Sm 0.0000 0.0000 0.1223
Sm 0.0000 0.0000 0.3725
Sm 0.0000 0.0000 0.6275
Sm 0.0000 0.0000 0.8777
Mg 0.5000 0.5000 0.2501
Mg 0.5000 0.5000 0.5000
Mg 0.5000 0.5000 0.7499
Hg 0.5000 0.5000 0.0000

***

Entry from Alexandria via LeMat-Bulk: crystalline Sm2MgHg3 at its relaxed geometry (PBE-GGA).

Calculated values
E_form: -464 meV per atom
final energy: -2.454 eV per atom
E above lowest polymorph: 0.000 eV/atom
space-group type: No. 164

Lattice parameters (Å, degrees): 5.1723 5.1723 13.0867 90.00 90.00 120.00
Fractional coordinates of all 12 atoms:
Sm 0.0000 0.0000 0.0000
Sm 0.0000 0.0000 0.5000
Sm 0.3333 0.6667 0.1823
Sm 0.6667 0.3333 0.8177
Mg 0.3333 0.6667 0.6611
Mg 0.6667 0.3333 0.3389
Hg 0.0000 0.0000 0.2564
Hg 0.0000 0.0000 0.7436
Hg 0.3333 0.6667 0.4203
Hg 0.3333 0.6667 0.9114
Hg 0.6667 0.3333 0.0886
Hg 0.6667 0.3333 0.5797